[1]
Material: Mn4Ga2Fe3
Method: DFT, PBE
State: optimized geometry

Lattice parameters (Å, degrees): 5.038 6.308 7.443 78.36 70.38 79.96
Sites, in units of the cell vectors:
Mn: 0.043 0.159 0.052
Mn: 0.196 0.165 0.387
Mn: 0.346 0.167 0.734
Mn: 0.400 0.492 0.839
Mn: 0.600 0.508 0.161
Mn: 0.654 0.833 0.266
Mn: 0.804 0.835 0.613
Mn: 0.957 0.841 0.948
Ga: 0.095 0.510 0.178
Ga: 0.308 0.828 0.608
Ga: 0.692 0.172 0.392
Ga: 0.905 0.490 0.822
Fe: 0.149 0.842 0.283
Fe: 0.261 0.492 0.491
Fe: 0.460 0.830 0.947
Fe: 0.540 0.170 0.053
Fe: 0.739 0.508 0.509
Fe: 0.851 0.158 0.717

## Properties
Total energy   -136.34 eV per cell
N(E_F)   18.34 states/eV/cell

=====

[2]
Material: MnGaFe
Method: DFT, PBE
State: optimized geometry

Lattice parameters (Å, degrees): 2.640 4.120 4.153 90.00 90.00 90.00
Sites, in units of the cell vectors:
Mn: 0.000 0.000 0.000
Ga: 0.000 0.500 0.500
Fe: 0.500 0.000 0.500

## Properties
Total energy   -20.01 eV per cell
N(E_F)   2.63 states/eV/cell

=====

[3]
Material: Mn5Ga4Fe2
Method: DFT, PBE
State: optimized geometry

Lattice parameters (Å, degrees): 6.596 2.618 8.432 90.00 95.09 90.00
Sites, in units of the cell vectors:
Mn: 0.000 0.000 0.000
Mn: 0.057 0.000 0.301
Mn: 0.319 0.000 0.842
Mn: 0.681 0.000 0.158
Mn: 0.943 0.000 0.699
Ga: 0.227 0.500 0.566
Ga: 0.316 0.500 0.114
Ga: 0.684 0.500 0.886
Ga: 0.773 0.500 0.434
Fe: 0.430 0.000 0.365
Fe: 0.570 0.000 0.635

## Properties
Total energy   -74.43 eV per cell
N(E_F)   7.21 states/eV/cell

=====

[4]
Material: Mn2GaFe2
Method: DFT, PBE
State: optimized geometry

Lattice parameters (Å, degrees): 5.573 5.573 8.469 100.40 100.40 26.71
Sites, in units of the cell vectors:
Mn: 0.000 0.000 0.000
Mn: 0.174 0.174 0.599
Mn: 0.397 0.397 0.190
Mn: 0.573 0.573 0.789
Ga: 0.285 0.285 0.895
Ga: 0.787 0.787 0.396
Fe: 0.080 0.080 0.295
Fe: 0.495 0.495 0.494
Fe: 0.684 0.684 0.099
Fe: 0.887 0.887 0.692

## Properties
Total energy   -76.30 eV per cell
N(E_F)   11.18 states/eV/cell

=====

[5]
Material: Mn2GaFe
Method: DFT, PBE
State: optimized geometry

Lattice parameters (Å, degrees): 5.251 5.251 5.251 102.83 102.83 123.77
Sites, in units of the cell vectors:
Mn: 0.087 0.625 0.962
Mn: 0.375 0.337 0.462
Mn: 0.663 0.125 0.038
Mn: 0.875 0.913 0.538
Ga: 0.250 0.750 0.500
Ga: 0.500 0.500 0.000
Fe: 0.000 0.000 0.000
Fe: 0.750 0.250 0.500

## Properties
Total energy   -55.78 eV per cell
N(E_F)   11.48 states/eV/cell

=====

[6]
Material: Mn2GaFe3
Method: DFT, PBE
State: optimized geometry

Lattice parameters (Å, degrees): 6.363 6.363 6.963 122.34 122.34 37.17
Sites, in units of the cell vectors:
Mn: 0.040 0.040 0.215
Mn: 0.287 0.287 0.446
Mn: 0.713 0.713 0.554
Mn: 0.960 0.960 0.785
Ga: 0.367 0.367 0.868
Ga: 0.633 0.633 0.132
Fe: 0.119 0.119 0.618
Fe: 0.211 0.211 0.040
Fe: 0.461 0.461 0.296
Fe: 0.539 0.539 0.704
Fe: 0.789 0.789 0.960
Fe: 0.881 0.881 0.382

## Properties
Total energy   -93.04 eV per cell
N(E_F)   15.22 states/eV/cell

=====

[7]
Material: MnGaFe2
Method: DFT, PBE
State: optimized geometry

Lattice parameters (Å, degrees): 3.586 3.586 3.816 90.00 90.00 90.00
Sites, in units of the cell vectors:
Mn: 0.000 0.000 0.000
Ga: 0.500 0.500 0.000
Fe: 0.000 0.500 0.500
Fe: 0.500 0.000 0.500

## Properties
Total energy   -29.38 eV per cell
N(E_F)   3.74 states/eV/cell

=====

[8]
Material: Mn2GaFe6
Method: DFT, PBE
State: optimized geometry

Lattice parameters (Å, degrees): 6.674 6.674 4.218 98.50 98.50 140.99
Sites, in units of the cell vectors:
Mn: 0.162 0.838 0.000
Mn: 0.838 0.162 0.000
Ga: 0.000 0.000 0.500
Fe: 0.168 0.504 0.665
Fe: 0.345 0.345 0.171
Fe: 0.496 0.832 0.335
Fe: 0.504 0.168 0.665
Fe: 0.655 0.655 0.829
Fe: 0.832 0.496 0.335

## Properties
Total energy   -71.24 eV per cell
N(E_F)   10.17 states/eV/cell

=====

[9]
Material: MnGaFe4
Method: DFT, PBE
State: optimized geometry

Lattice parameters (Å, degrees): 4.684 4.684 4.684 60.00 60.00 60.00
Sites, in units of the cell vectors:
Mn: 0.000 0.000 0.000
Ga: 0.750 0.750 0.750
Fe: 0.375 0.375 0.375
Fe: 0.375 0.375 0.875
Fe: 0.375 0.875 0.375
Fe: 0.875 0.375 0.375

## Properties
Total energy   -45.52 eV per cell
N(E_F)   3.75 states/eV/cell

=====

[10]
Material: MnGaFe2
Method: DFT, PBE
State: optimized geometry

Lattice parameters (Å, degrees): 5.346 5.346 5.346 102.59 102.59 124.35
Sites, in units of the cell vectors:
Mn: 0.000 0.000 0.000
Mn: 0.750 0.250 0.500
Ga: 0.250 0.750 0.500
Ga: 0.500 0.500 0.000
Fe: 0.131 0.625 0.006
Fe: 0.375 0.381 0.506
Fe: 0.619 0.125 0.994
Fe: 0.875 0.869 0.494

## Properties
Total energy   -54.90 eV per cell
N(E_F)   6.00 states/eV/cell

=====

[11]
Material: MnGa2Fe2
Method: DFT, PBE
State: optimized geometry

Lattice parameters (Å, degrees): 6.397 6.397 10.332 126.27 126.27 23.45
Sites, in units of the cell vectors:
Mn: 0.192 0.192 0.383
Mn: 0.808 0.808 0.617
Ga: 0.313 0.313 0.854
Ga: 0.467 0.467 0.301
Ga: 0.533 0.533 0.699
Ga: 0.687 0.687 0.146
Fe: 0.013 0.013 0.892
Fe: 0.121 0.121 0.567
Fe: 0.879 0.879 0.433
Fe: 0.987 0.987 0.108

## Properties
Total energy   -63.77 eV per cell
N(E_F)   7.69 states/eV/cell

=====

[12]
Material: Mn2Ga3Fe3
Method: DFT, PBE
State: optimized geometry

Lattice parameters (Å, degrees): 3.633 3.695 7.580 90.00 90.00 90.00
Sites, in units of the cell vectors:
Mn: 0.000 0.000 0.249
Mn: 0.000 0.000 0.751
Ga: 0.500 0.000 0.500
Ga: 0.500 0.500 0.236
Ga: 0.500 0.500 0.764
Fe: 0.000 0.500 0.000
Fe: 0.000 0.500 0.500
Fe: 0.500 0.000 0.000

## Properties
Total energy   -53.66 eV per cell
N(E_F)   4.64 states/eV/cell

=====

ΔE_f for the records above, in order: -0.01, 0.22, 0.04, 0.03, 0.48, 0.04, -0.07, 0.10, 0.09, 0.42, 0.05, -0.11 eV per atom